Record 1
Pu2Ga4Cu3Au | PBE-GGA | relaxed

## Properties
* crystal system: tetragonal
* Fermi-level density of states: 2.456 states/eV per atom
* ΔE_f: -0.276 eV per atom
* symmetry: P-4m2

Lattice parameters (Å, degrees): 4.203 4.203 10.368 90.00 90.00 90.00
Sites, in units of the cell vectors:
Pu  0.000  0.500  0.245
Pu  0.500  0.000  0.755
Ga  0.000  0.000  0.000
Ga  0.000  0.500  0.643
Ga  0.500  0.000  0.357
Ga  0.500  0.500  0.000
Cu  0.000  0.500  0.873
Cu  0.500  0.000  0.127
Cu  0.500  0.500  0.500
Au  0.000  0.000  0.500

Record 2
Hf2InTe | PBE-GGA | relaxed

## Properties
* crystal system: tetragonal
* E_form (uncorrected): 0.65 eV per atom
* offset from the most stable computed form: 817 meV/atom
* Fermi-level density of states: 0.972 states/eV per atom
* symmetry: I-42d

Lattice parameters (Å, degrees): 6.152 6.152 14.143 90.00 90.00 90.00
Sites, in units of the cell vectors:
Hf  0.235  0.250  0.125
Hf  0.250  0.735  0.375
Hf  0.250  0.765  0.875
Hf  0.265  0.250  0.625
Hf  0.735  0.750  0.625
Hf  0.750  0.235  0.875
Hf  0.750  0.265  0.375
Hf  0.765  0.750  0.125
In  0.000  0.000  0.000
In  0.000  0.500  0.250
In  0.500  0.000  0.750
In  0.500  0.500  0.500
Te  0.000  0.000  0.500
Te  0.000  0.500  0.750
Te  0.500  0.000  0.250
Te  0.500  0.500  0.000

Record 3
U4Tc | PBE-GGA | relaxed

## Properties
* crystal system: cubic
* Fermi-level density of states: 5.176 states/eV per atom
* ΔE_f: 0.997 eV per atom
* symmetry: Pm-3m

Lattice parameters (Å, degrees): 5.152 5.152 5.152 90.00 90.00 90.00
Sites, in units of the cell vectors:
U  0.000  0.000  0.000
U  0.000  0.500  0.500
U  0.500  0.000  0.500
U  0.500  0.500  0.000
Tc  0.500  0.500  0.500

Record 4
BaNi5As3 | PBE-GGA | relaxed

## Properties
* crystal system: orthorhombic
* Fermi-level density of states: 0.573 states/eV per atom
* ΔE_f: -0.505 eV per atom
* symmetry: Cmcm

Lattice parameters (Å, degrees): 6.473 6.473 12.121 90.00 90.00 145.64
Sites, in units of the cell vectors:
Ba  0.167  0.833  0.750
Ba  0.833  0.167  0.250
Ni  0.000  0.000  0.000
Ni  0.000  0.000  0.500
Ni  0.192  0.808  0.065
Ni  0.192  0.808  0.435
Ni  0.452  0.548  0.645
Ni  0.452  0.548  0.855
Ni  0.548  0.452  0.145
Ni  0.548  0.452  0.355
Ni  0.808  0.192  0.565
Ni  0.808  0.192  0.935
As  0.109  0.891  0.250
As  0.379  0.621  0.036
As  0.379  0.621  0.464
As  0.621  0.379  0.536
As  0.621  0.379  0.964
As  0.891  0.109  0.750

Record 5
Ba2AcSnSe5 | PBE-GGA | relaxed

## Properties
* crystal system: orthorhombic
* E_form (uncorrected): -1.57 eV per atom
* Fermi-level density of states: 0.146 states/eV per atom
* symmetry: Cmc2_1

Lattice parameters (Å, degrees): 10.001 10.001 13.231 90.00 90.00 152.96
Sites, in units of the cell vectors:
Ba  0.112  0.888  0.500
Ba  0.125  0.875  0.132
Ba  0.875  0.125  0.632
Ba  0.888  0.112  0.000
Ac  0.212  0.788  0.835
Ac  0.788  0.212  0.335
Sn  0.454  0.546  0.267
Sn  0.546  0.454  0.767
Se  0.047  0.953  0.868
Se  0.288  0.712  0.490
Se  0.322  0.678  0.182
Se  0.367  0.633  0.818
Se  0.496  0.504  0.584
Se  0.504  0.496  0.084
Se  0.633  0.367  0.318
Se  0.678  0.322  0.682
Se  0.712  0.288  0.990
Se  0.953  0.047  0.368

Record 6
CsPtSeO6 | PBE-GGA | relaxed

## Properties
* crystal system: trigonal
* E_form (uncorrected): -0.76 eV per atom
* Fermi-level density of states: 0.672 states/eV per atom
* symmetry: P312

Lattice parameters (Å, degrees): 5.115 5.115 6.883 90.00 90.00 120.00
Sites, in units of the cell vectors:
Cs  0.000  0.000  0.000
Pt  0.333  0.667  0.500
Se  0.667  0.333  0.500
O  0.387  0.023  0.654
O  0.387  0.365  0.346
O  0.635  0.023  0.346
O  0.635  0.613  0.654
O  0.977  0.365  0.654
O  0.977  0.613  0.346

Record 7
Ca3InGe2 | PBE-GGA | relaxed

## Properties
* crystal system: orthorhombic
* Fermi-level density of states: 0.557 states/eV per atom
* ΔE_f: -0.497 eV per atom
* symmetry: Pnma

Lattice parameters (Å, degrees): 12.106 4.487 12.306 90.00 90.00 90.00
Sites, in units of the cell vectors:
Ca  0.062  0.250  0.110
Ca  0.133  0.750  0.561
Ca  0.189  0.250  0.815
Ca  0.311  0.750  0.315
Ca  0.367  0.250  0.061
Ca  0.438  0.750  0.610
Ca  0.562  0.250  0.390
Ca  0.633  0.750  0.939
Ca  0.689  0.250  0.685
Ca  0.811  0.750  0.185
Ca  0.867  0.250  0.439
Ca  0.938  0.750  0.890
In  0.138  0.250  0.355
In  0.362  0.750  0.855
In  0.638  0.250  0.145
In  0.862  0.750  0.645
Ge  0.016  0.750  0.319
Ge  0.188  0.750  0.999
Ge  0.312  0.250  0.499
Ge  0.484  0.250  0.819
Ge  0.516  0.750  0.181
Ge  0.688  0.750  0.501
Ge  0.812  0.250  0.001
Ge  0.984  0.250  0.681

Record 8
LuThGaCo | PBE-GGA | relaxed

## Properties
* crystal system: cubic
* Fermi-level density of states: 0.811 states/eV per atom
* ΔE_f: -0.263 eV per atom
* symmetry: F-43m

Lattice parameters (Å, degrees): 7.022 7.022 7.022 90.00 90.00 90.00
Sites, in units of the cell vectors:
Lu  0.000  0.000  0.000
Lu  0.000  0.500  0.500
Lu  0.500  0.000  0.500
Lu  0.500  0.500  0.000
Th  0.000  0.000  0.500
Th  0.000  0.500  0.000
Th  0.500  0.000  0.000
Th  0.500  0.500  0.500
Ga  0.250  0.250  0.250
Ga  0.250  0.750  0.750
Ga  0.750  0.250  0.750
Ga  0.750  0.750  0.250
Co  0.250  0.250  0.750
Co  0.250  0.750  0.250
Co  0.750  0.250  0.250
Co  0.750  0.750  0.750

Record 9
Ac4La2Er3 | PBE-GGA | relaxed

## Properties
* crystal system: monoclinic
* Fermi-level density of states: 1.682 states/eV per atom
* ΔE_f: 0.054 eV per atom
* symmetry: C2/m

Lattice parameters (Å, degrees): 6.510 6.510 11.289 106.35 106.35 48.94
Sites, in units of the cell vectors:
Ac  0.007  0.007  0.336
Ac  0.334  0.334  0.113
Ac  0.666  0.666  0.887
Ac  0.993  0.993  0.664
La  0.330  0.330  0.772
La  0.670  0.670  0.228
Er  0.000  0.000  0.000
Er  0.337  0.337  0.449
Er  0.663  0.663  0.551

Record 10
LaTb3Pr2 | PBE-GGA | relaxed

## Properties
* crystal system: monoclinic
* offset from the most stable computed form: 95 meV/atom
* Fermi-level density of states: 1.591 states/eV per atom
* ΔE_f: 0.116 eV per atom
* symmetry: C2/m

Lattice parameters (Å, degrees): 11.902 11.902 10.555 108.59 108.59 17.20
Sites, in units of the cell vectors:
La  0.187  0.187  0.035
La  0.813  0.813  0.965
Tb  0.060  0.060  0.450
Tb  0.196  0.196  0.716
Tb  0.432  0.432  0.241
Tb  0.568  0.568  0.759
Tb  0.804  0.804  0.284
Tb  0.940  0.940  0.550
Pr  0.191  0.191  0.371
Pr  0.434  0.434  0.858
Pr  0.566  0.566  0.142
Pr  0.809  0.809  0.629

Record 11
Ca2BeNi4P3 | PBE-GGA | relaxed

## Properties
* crystal system: tetragonal
* Fermi-level density of states: 0.523 states/eV per atom
* ΔE_f: -0.743 eV per atom
* symmetry: P-4m2

Lattice parameters (Å, degrees): 3.900 3.900 9.269 90.00 90.00 90.00
Sites, in units of the cell vectors:
Ca  0.000  0.500  0.247
Ca  0.500  0.000  0.753
Be  0.500  0.500  0.000
Ni  0.000  0.000  0.500
Ni  0.000  0.500  0.880
Ni  0.500  0.000  0.120
Ni  0.500  0.500  0.500
P  0.000  0.000  0.000
P  0.000  0.500  0.634
P  0.500  0.000  0.366

Record 12
TlSbTe2 | PBE-GGA | relaxed

## Properties
* crystal system: tetragonal
* E_form (uncorrected): 0.06 eV per atom
* offset from the most stable computed form: 293 meV/atom
* Fermi-level density of states: 0.660 states/eV per atom
* symmetry: P4mm

Lattice parameters (Å, degrees): 3.791 3.791 9.661 90.00 90.00 90.00
Sites, in units of the cell vectors:
Tl  0.000  0.000  0.000
Sb  0.500  0.500  0.302
Te  0.000  0.000  0.442
Te  0.500  0.500  0.791

Number 1: total magnetic moment 11.26 μB/f.u., VASP energy -5.91 eV/atom. Number 2: total magnetic moment 0.00 μB/f.u., VASP energy -5.80 eV/atom. Number 3: total magnetic moment 10.55 μB/f.u., VASP energy -10.11 eV/atom. Number 4: total magnetic moment 0.00 μB/f.u., VASP energy -5.48 eV/atom. Number 5: total magnetic moment 0.00 μB/f.u., VASP energy -4.84 eV/atom. Number 6: total magnetic moment 0.85 μB/f.u., VASP energy -5.22 eV/atom. Number 7: total magnetic moment 0.00 μB/f.u., VASP energy -3.49 eV/atom. Number 8: total magnetic moment 0.55 μB/f.u., VASP energy -5.78 eV/atom. Number 9: total magnetic moment 0.00 μB/f.u., VASP energy -4.39 eV/atom. Number 10: total magnetic moment 0.00 μB/f.u., VASP energy -4.61 eV/atom. Number 11: total magnetic moment 0.00 μB/f.u., VASP energy -5.45 eV/atom. Number 12: total magnetic moment 0.00 μB/f.u., VASP energy -3.13 eV/atom.